No. 1
This record from Alexandria via LeMat-Bulk describes a geometry-optimized Li2AlOs structure. The functional is PBE-GGA. Values from VASP.

```
&SYSTEM
  ibrav = 0, nat = 4, ntyp = 3
/
ATOMIC_SPECIES
Li 6.94 Li.upf
Al 26.98 Al.upf
Os 190.23 Os.upf
ATOMIC_POSITIONS crystal
Li 0.2328 0.0000 0.2271
Li 0.7672 0.0000 0.7729
Al 0.0000 0.5000 0.5000
Os 0.5000 0.5000 0.0000
CELL_PARAMETERS angstrom
2.6779 0.0000 0.0000
0.0000 4.6891 0.0000
-0.2528 0.0000 4.5002
```

## Properties
SG = P2/m

No. 2
This record from Alexandria via LeMat-Bulk describes a geometry-optimized LiAl2Os2 structure. The functional is PBE-GGA. Values from VASP.

```
&SYSTEM
  ibrav = 0, nat = 10, ntyp = 3
/
ATOMIC_SPECIES
Li 6.94 Li.upf
Al 26.98 Al.upf
Os 190.23 Os.upf
ATOMIC_POSITIONS crystal
Li 0.0000 0.0000 0.0000
Li 0.5000 0.5000 0.0000
Al 0.1388 0.3612 0.0000
Al 0.3612 0.8612 0.0000
Al 0.6388 0.1388 0.0000
Al 0.8612 0.6388 0.0000
Os 0.1577 0.6577 0.5000
Os 0.3423 0.1577 0.5000
Os 0.6577 0.8423 0.5000
Os 0.8423 0.3423 0.5000
CELL_PARAMETERS angstrom
6.7729 0.0000 0.0000
0.0000 6.7729 0.0000
0.0000 0.0000 3.1492
```

## Properties
offset from the most stable computed form = 45 meV/atom
SG = P4/mbm

No. 3
This record from Alexandria via LeMat-Bulk describes a geometry-optimized Li2AlOs structure. The functional is PBE-GGA. Values from VASP.

```
&SYSTEM
  ibrav = 0, nat = 4, ntyp = 3
/
ATOMIC_SPECIES
Li 6.94 Li.upf
Al 26.98 Al.upf
Os 190.23 Os.upf
ATOMIC_POSITIONS crystal
Li 0.0000 0.0000 0.0000
Li 0.5000 0.5000 0.2869
Al 0.0000 0.0000 0.5364
Os 0.5000 0.5000 0.7624
CELL_PARAMETERS angstrom
1.5107 -2.2453 0.0000
1.5107 2.2453 0.0000
0.0000 0.0000 9.0264
```

## Properties
SG = Cmm2

Number 1: ΔE_f -2.04 kcal/mol of atoms. Number 2: ΔE_f -1.98 kcal/mol of atoms. Number 3: ΔE_f 0.79 kcal/mol of atoms.